1.
Nd2Al7Pd | PBE | relaxed

Unit cell a=4.2491 b=4.2491 c=11.1524 alpha=90.00 beta=90.00 gamma=90.00
Space group P-4m2 (No. 115)
Unique sites:
Nd  0.0000  0.5000  0.2482 (multiplicity 2)
Al  0.0000  0.0000  0.0000 (multiplicity 1)
Al  0.0000  0.5000  0.6293 (multiplicity 2)
Al  0.0000  0.5000  0.8568 (multiplicity 2)
Al  0.5000  0.5000  0.0000 (multiplicity 1)
Al  0.5000  0.5000  0.5000 (multiplicity 1)
Pd  0.0000  0.0000  0.5000 (multiplicity 1)

Results
The value obtained for the total energy is -4.59 eV per atom. For the formation energy, the calculation gives -0.495 eV/atom. The value obtained for the total magnetization is 0.00 μB per formula unit. As for the crystal system: tetragonal.

***

2.
NdAl3Pd2 | PBE | relaxed

Unit cell a=5.4961 b=5.4961 c=4.2172 alpha=90.00 beta=90.00 gamma=120.00
Space group P6/mmm (No. 191)
Unique sites:
Nd  0.0000  0.0000  0.0000 (multiplicity 1)
Al  0.0000  0.5000  0.5000 (multiplicity 3)
Pd  0.3333  0.6667  0.0000 (multiplicity 2)

Results
Its excess energy over the best structure of this formula in the dataset is 0.000 eV per formula unit. The value obtained for the total energy is -5.24 eV per atom. For the formation energy, the calculation gives -0.843 eV/atom. The value obtained for the total magnetization is 0.00 μB per formula unit. As for the crystal system: hexagonal.

***

3.
NdAl3Pd4 | PBE | relaxed

Unit cell a=4.3232 b=4.3232 c=26.1290 alpha=90.00 beta=90.00 gamma=120.00
Space group R-3m (No. 166, hexagonal axes)
Unique sites:
Nd  0.0000  0.0000  0.0000 (multiplicity 3)
Al  0.0000  0.0000  0.2388 (multiplicity 6)
Al  0.0000  0.0000  0.5000 (multiplicity 3)
Pd  0.0000  0.0000  0.1348 (multiplicity 6)
Pd  0.0000  0.0000  0.4044 (multiplicity 6)

Results
The value obtained for the total energy is -5.46 eV per atom. For the formation energy, the calculation gives -0.866 eV/atom. The value obtained for the total magnetization is 0.00 μB per formula unit. As for the crystal system: trigonal.

***

4.
NdAlPd6 | PBE | relaxed

Unit cell a=3.9952 b=3.9952 c=9.3016 alpha=90.00 beta=90.00 gamma=90.00
Space group P4/mmm (No. 123)
Unique sites:
Nd  0.0000  0.0000  0.0000 (multiplicity 1)
Al  0.0000  0.0000  0.5000 (multiplicity 1)
Pd  0.0000  0.5000  0.3379 (multiplicity 4)
Pd  0.5000  0.5000  0.1393 (multiplicity 2)

Results
Its excess energy over the best structure of this formula in the dataset is 1.369 eV per formula unit. The value obtained for the total energy is -5.46 eV per atom. For the formation energy, the calculation gives -0.503 eV/atom. The value obtained for the total magnetization is 0.00 μB per formula unit. As for the crystal system: tetragonal.